# 1
{
  "formula": "Cu4AgPd4",
  "functional": "PBE",
  "state": "optimized geometry",
  "lattice_angstrom": [[-0.734, 3.010, 2.013], [-0.319, -1.764, 5.913], [5.411, 2.506, 1.617]],
  "species": ["Pd", "Pd", "Pd", "Pd", "Cu", "Cu", "Cu", "Cu", "Ag"],
  "frac_coords": [[0.673, 0.327, 0.327], [0.327, 0.673, 0.673], [0.000, 0.673, 0.327], [0.000, 0.327, 0.673], [0.327, 0.346, 0.000], [0.327, 0.000, 0.346], [0.673, 0.654, 0.000], [0.673, 0.000, 0.654], [0.000, 0.000, 0.000]],
  "e_form_kj_per_mol_fu": -53,
  "sg": "No. 139",
  "total_magnetization_mub_per_atom": 0.0000,
  "energy_ev_per_atom": -4.507,
  "polymorph_energy_ev_per_fu": 0.03,
  "volume_a3_per_atom": 14.27
}



# 2
{
  "formula": "AlCl",
  "functional": "PBE",
  "state": "optimized geometry",
  "lattice_angstrom": [[13.192, 0.000, 0.000], [0.000, 3.786, 0.000], [0.000, 0.000, 6.551]],
  "species": ["Cl", "Cl", "Cl", "Cl", "Cl", "Cl", "Al", "Al", "Al", "Al", "Al", "Al"],
  "frac_coords": [[0.704, 0.492, 0.194], [0.796, 0.508, 0.694], [0.296, 0.492, 0.194], [0.500, 0.994, 0.945], [0.204, 0.508, 0.694], [0.000, 0.006, 0.445], [0.639, 0.499, 0.527], [0.000, 0.001, 0.114], [0.139, 0.501, 0.027], [0.500, 0.999, 0.614], [0.861, 0.501, 0.027], [0.361, 0.499, 0.527]],
  "formation_energy_uncorrected_ev_per_atom": -0.662,
  "sg": "No. 31",
  "total_magnetization_mub_per_atom": 0.0000,
  "energy_ev_per_atom": -3.456,
  "volume_a3_per_atom": 27.27
}



# 3
{
  "formula": "Na3AlP2",
  "functional": "PBE",
  "state": "optimized geometry",
  "lattice_angstrom": [[8.044, -0.001, 0.000], [2.863, 7.517, 0.000], [-5.145, -4.206, 4.532]],
  "species": ["P", "P", "P", "P", "Al", "Al", "Na", "Na", "Na", "Na", "Na", "Na"],
  "frac_coords": [[0.298, 0.101, 0.197], [0.904, 0.601, 0.303], [0.096, 0.399, 0.697], [0.702, 0.899, 0.803], [0.000, 0.750, 0.750], [0.000, 0.250, 0.250], [0.624, 0.308, 0.317], [0.376, 0.692, 0.683], [0.991, 0.808, 0.183], [0.500, 0.250, 0.750], [0.500, 0.750, 0.250], [0.009, 0.192, 0.817]],
  "e_form_kj_per_mol_fu": -298,
  "sg": "No. 72",
  "total_magnetization_mub_per_atom": 0.0000,
  "energy_ev_per_atom": -3.601,
  "polymorph_energy_ev_per_fu": 0.00,
  "volume_a3_per_atom": 22.84
}



# 4
{
  "formula": "KC2O4",
  "functional": "PBE",
  "state": "optimized geometry",
  "lattice_angstrom": [[-4.305, 4.121, -0.115], [2.489, -3.036, 4.485], [6.316, 6.626, 0.980]],
  "species": ["O", "O", "O", "O", "O", "O", "O", "O", "C", "C", "C", "C", "K", "K"],
  "frac_coords": [[0.742, 0.475, 0.500], [0.475, 0.742, 0.000], [0.258, 0.525, 0.500], [0.500, 0.000, 0.611], [0.000, 0.500, 0.111], [0.000, 0.500, 0.889], [0.525, 0.258, 0.000], [0.500, 0.000, 0.389], [0.778, 0.341, 0.000], [0.659, 0.222, 0.500], [0.341, 0.778, 0.500], [0.222, 0.659, 0.000], [0.500, 0.500, 0.250], [0.500, 0.500, 0.750]],
  "formation_energy_uncorrected_ev_per_atom": -0.982,
  "sg": "No. 66",
  "total_magnetization_mub_per_atom": 0.0000,
  "energy_ev_per_atom": -6.608,
  "polymorph_energy_ev_per_fu": 0.19,
  "volume_a3_per_atom": 17.38
}